# 1
First-principles (GGA-PBE) data for DyScTe after structural relaxation, as listed in Alexandria via LeMat-Bulk.

As for the density of states at the Fermi level: 4.29 states/eV per cell. For the formation energy (no corrections), the calculation gives -1.44 eV/f.u. As for the distance to the lowest polymorph of the same formula: 393 meV per atom.

The space group is P3m1 (No. 156) and the conventional cell measures 4.9433, 4.9433 and 3.8676 Å, with angles of 90.00, 90.00 and 120.00 degrees. The asymmetric unit holds Dy at (0.0000, 0.0000, 0.0000), Sc at (0.6667, 0.3333, 0.4965) and Te at (0.3333, 0.6667, 0.3922).



# 2
First-principles (GGA-PBE) data for DyScTe3 after structural relaxation, as listed in Alexandria via LeMat-Bulk.

For the formation energy (no corrections), the calculation gives -5.99 eV/f.u. As for the distance to the lowest polymorph of the same formula: 88 meV per atom.

The space group is P2_1/c (No. 14) and the conventional cell measures 9.666, 7.506 and 10.846 Å, with angles of 90.00, 116.34 and 90.00 degrees. The asymmetric unit holds Dy at (0.224, 0.177, 0.109), Sc at (0.419, 0.744, 0.031), Te at (0.114, 0.659, 0.450), Te at (0.277, 0.096, 0.401) and Te at (0.434, 0.557, 0.294).



# 3
First-principles (GGA-PBE) data for Dy2Sc2Te7 after structural relaxation, as listed in Alexandria via LeMat-Bulk.

As for the density of states at the Fermi level: 10.01 states/eV per cell. For the formation energy (no corrections), the calculation gives -11.95 eV/f.u.

The space group is Imm2 (No. 44) and the conventional cell measures 4.128, 15.590 and 9.672 Å, with angles of 90.00, 90.00 and 90.00 degrees. The asymmetric unit holds Dy at (0.000, 0.240, 0.000), Sc at (0.000, 0.000, 0.223), Sc at (0.000, 0.500, 0.175), Te at (0.000, 0.000, 0.907), Te at (0.000, 0.106, 0.501), Te at (0.000, 0.327, 0.295) and Te at (0.000, 0.363, 0.691).



# 4
First-principles (GGA-PBE) data for Dy5ScTe4 after structural relaxation, as listed in Alexandria via LeMat-Bulk.

As for the density of states at the Fermi level: 15.85 states/eV per cell. For the formation energy (no corrections), the calculation gives -8.96 eV/f.u.

The space group is C2/m (No. 12) and the conventional cell measures 18.092, 4.082 and 8.420 Å, with angles of 90.00, 102.09 and 90.00 degrees. The asymmetric unit holds Dy at (0.000, 0.000, 0.000), Dy at (0.167, 0.500, 0.287), Dy at (0.186, 0.500, 0.861), Sc at (0.000, 0.000, 0.500), Te at (0.008, 0.500, 0.744) and Te at (0.163, 0.000, 0.564).



Looking at calculated total energy for the records above, in order, we have -5.171 -5.270 -5.074 -5.087 eV per atom.